Entry 1:
A plane-wave DFT calculation with PBE-GGA was carried out for a geometry-optimized Na2AgI structure.

abc: 3.895 3.895 7.530
angles: 90.00 90.00 90.00
Element x y z (fractional)
I: 0.500 0.500 0.000
Na: 0.000 0.000 0.741
Na: 0.000 0.000 0.259
Ag: 0.500 0.500 0.500

Entry 2:
A plane-wave DFT calculation with PBE-GGA was carried out for a geometry-optimized Na2AgI structure.

abc: 5.517 5.517 5.517
angles: 60.00 60.00 60.00
Element x y z (fractional)
I: 0.500 0.500 0.500
Na: 0.250 0.250 0.250
Na: 0.750 0.750 0.750
Ag: 0.000 0.000 0.000

Number 1: uncorrected formation energy -0.461 eV per atom. Number 2: uncorrected formation energy -0.389 eV per atom.